# 1
# DyLuTlCo

An optimized crystal structure of DyLuTlCo (PBE, Alexandria via LeMat-Bulk).

**Crystal system**: cubic
**Size of the total moment**: 1.24 Bohr magnetons per cell
**Electronic total energy**: -19.11 eV per cell
**Formation energy**: -0.5 eV per formula unit

abc: 5.0517 5.0517 5.0517
angles: 60.00 60.00 60.00
Fractional coordinates of all 4 atoms:
Dy 0.0000 0.0000 0.0000
Lu 0.5000 0.5000 0.5000
Tl 0.7500 0.7500 0.7500
Co 0.2500 0.2500 0.2500


# 2
# RbLiFe2Br8

An optimized crystal structure of RbLiFe2Br8 (PBE, Alexandria via LeMat-Bulk).

**Crystal system**: monoclinic
**Size of the total moment**: 10.00 Bohr magnetons per cell
**Electronic total energy**: -43.76 eV per cell
**Uncorrected formation energy**: -10.6 eV per formula unit

abc: 6.8853 6.8853 10.0483
angles: 95.66 95.66 67.69
Fractional coordinates of all 12 atoms:
Rb 0.0000 0.0000 0.0000
Li 0.0000 0.0000 0.5000
Fe 0.3847 0.3847 0.7132
Fe 0.6153 0.6153 0.2868
Br 0.2430 0.2430 0.5252
Br 0.2428 0.7411 0.2946
Br 0.2589 0.7572 0.7054
Br 0.3080 0.3080 0.9199
Br 0.6921 0.6921 0.0801
Br 0.7411 0.2428 0.2946
Br 0.7572 0.2589 0.7054
Br 0.7570 0.7570 0.4748


# 3
# Mo3Os

An optimized crystal structure of Mo3Os (PBE, Alexandria via LeMat-Bulk).

**Crystal system**: monoclinic
**Distance to the lowest polymorph of the same formula**: 0.81 eV per formula unit
**Size of the total moment**: 0.00 Bohr magnetons per cell
**Electronic total energy**: -42.91 eV per cell
**Formation energy**: 0.8 eV per formula unit

abc: 4.9140 4.9140 4.8122
angles: 99.42 99.42 33.00
Fractional coordinates of all 4 atoms:
Mo 0.0000 0.0000 0.0000
Mo 0.2396 0.2396 0.7408
Mo 0.7604 0.7604 0.2592
Os 0.5000 0.5000 0.5000


# 4
# LiLaHoCo

An optimized crystal structure of LiLaHoCo (PBE, Alexandria via LeMat-Bulk).

**Crystal system**: cubic
**Size of the total moment**: 0.00 Bohr magnetons per cell
**Electronic total energy**: -18.54 eV per cell
**Formation energy**: 0.0 eV per formula unit

abc: 4.9815 4.9815 4.9815
angles: 60.00 60.00 60.00
Fractional coordinates of all 4 atoms:
Li 0.0000 0.0000 0.0000
La 0.7500 0.7500 0.7500
Ho 0.2500 0.2500 0.2500
Co 0.5000 0.5000 0.5000


> Which of these has the lowest electronic total energy?

RbLiFe2Br8